w:
Compound: Ag2BiAu2
Source: Alexandria via LeMat-Bulk
Functional: PBE
Structure: optimized geometry

Properties
Magnetization in μB per cell: 0.00
Crystal system: tetragonal

Unit cell a=3.9126 b=3.9126 c=7.6595 alpha=75.20 beta=75.20 gamma=90.00
With the nearest neighbours (Å) after each atom.
Positions (direct):
Au1 0.7500 0.2500 0.5000  4 Au 2.77, 4 Ag 2.89
Au2 0.2500 0.7500 0.5000  4 Au 2.77, 4 Ag 2.89
Bi1 0.0000 0.0000 0.0000  8 Ag 3.12
Ag1 0.3993 0.3993 0.2013  1 Ag 2.88, 4 Au 2.89, 4 Bi 3.12
Ag2 0.6007 0.6007 0.7987  1 Ag 2.88, 4 Au 2.89, 4 Bi 3.12

x:
Compound: Ag2BiAu2
Source: Alexandria via LeMat-Bulk
Functional: PBE
Structure: optimized geometry

Properties
Magnetization in μB per cell: 0.00
Crystal system: monoclinic

Unit cell a=5.2116 b=5.2116 c=6.6637 alpha=52.44 beta=52.44 gamma=49.48
With the nearest neighbours (Å) after each atom.
Positions (direct):
Ag1 0.1961 0.6961 0.3962  6 Au 2.96-3.13, 3 Ag 2.97-3.10, 3 Bi 3.10-3.13
Ag2 0.8039 0.3039 0.6038  6 Au 2.96-3.13, 3 Ag 2.97-3.10, 3 Bi 3.10-3.13
Bi1 0.0000 0.5000 0.0000  6 Au 3.05-3.11, 6 Ag 3.10-3.13
Au1 0.5880 0.0880 0.2215  1 Au 2.87, 6 Ag 2.96-3.13, 3 Bi 3.05-3.11
Au2 0.4120 0.9120 0.7785  1 Au 2.87, 6 Ag 2.96-3.13, 3 Bi 3.05-3.11

y:
Compound: Ag2BiAu2
Source: Alexandria via LeMat-Bulk
Functional: PBE
Structure: optimized geometry

Properties
Magnetization in μB per cell: 0.00
Crystal system: tetragonal

Unit cell a=8.0070 b=8.0070 c=3.2430 alpha=90.00 beta=90.00 gamma=90.00
With the nearest neighbours (Å) after each atom.
Positions (direct):
Au1 0.3705 0.8705 0.0000  6 Ag 2.83-2.88, 1 Au 2.93, 2 Bi 3.14
Au2 0.8705 0.6295 0.0000  6 Ag 2.83-2.88, 1 Au 2.93, 2 Bi 3.14
Au3 0.6295 0.1295 0.0000  6 Ag 2.83-2.88, 1 Au 2.93, 2 Bi 3.14
Au4 0.1295 0.3705 0.0000  6 Ag 2.83-2.88, 1 Au 2.93, 2 Bi 3.14
Bi1 0.0000 0.0000 0.0000  4 Au 3.14, 2 Bi 3.24, 8 Ag 3.40
Bi2 0.5000 0.5000 0.0000  4 Au 3.14, 2 Bi 3.24, 8 Ag 3.40
Ag1 0.1659 0.6659 0.5000  6 Au 2.83-2.88
Ag2 0.6659 0.8341 0.5000  6 Au 2.83-2.88
Ag3 0.8341 0.3341 0.5000  6 Au 2.83-2.88
Ag4 0.3341 0.1659 0.5000  6 Au 2.83-2.88

Which one sits at the top of the stability order? y does.

w:
Compound: AgBi2Au2
Source: Alexandria via LeMat-Bulk
Functional: PBE
Structure: optimized geometry

Properties
Magnetization in μB per cell: 0.00
Crystal system: tetragonal

Unit cell a=3.8542 b=3.8542 c=8.8283 alpha=77.39 beta=77.39 gamma=90.00
With the nearest neighbours (Å) after each atom.
Positions (direct):
Au1 0.7500 0.2500 0.5000  4 Au 2.73
Au2 0.2500 0.7500 0.5000  4 Au 2.73
Bi1 0.3956 0.3956 0.2088  4 Au 3.11, 4 Ag 3.24
Bi2 0.6044 0.6044 0.7912  4 Au 3.11, 4 Ag 3.24
Ag1 0.0000 0.0000 0.0000  8 Bi 3.24

x:
Compound: AgBi2Au2
Source: Alexandria via LeMat-Bulk
Functional: PBE
Structure: optimized geometry

Properties
Magnetization in μB per cell: 0.00
Crystal system: tetragonal

Unit cell a=4.6843 b=4.6843 c=7.0608 alpha=70.63 beta=70.63 gamma=90.00
With the nearest neighbours (Å) after each atom.
Positions (direct):
Au1 0.3947 0.3947 0.2107  1 Au 2.63
Au2 0.6053 0.6053 0.7893  1 Au 2.63
Bi1 0.7500 0.2500 0.5000  4 Au 2.96
Bi2 0.2500 0.7500 0.5000  4 Au 2.96
Ag1 0.0000 0.0000 0.0000  8 Au 3.56, 8 Bi 3.90

Which one sits at the top of the stability order? w does.

w:
Compound: AgBi2Au2
Source: Alexandria via LeMat-Bulk
Functional: PBE
Structure: optimized geometry

Properties
Magnetization in μB per cell: 0.00
Crystal system: tetragonal

Unit cell a=7.4769 b=7.4769 c=4.2625 alpha=90.00 beta=90.00 gamma=90.00
With the nearest neighbours (Å) after each atom.
Positions (direct):
Au1 0.3628 0.8628 0.0000  2 Ag 2.90, 1 Au 2.90, 6 Bi 2.96-3.14
Au2 0.8628 0.6372 0.0000  2 Ag 2.90, 1 Au 2.90, 6 Bi 2.96-3.14
Au3 0.6372 0.1372 0.0000  2 Ag 2.90, 1 Au 2.90, 6 Bi 2.96-3.14
Au4 0.1372 0.3628 0.0000  2 Ag 2.90, 1 Au 2.90, 6 Bi 2.96-3.14
Bi1 0.1687 0.6687 0.5000  6 Au 2.96-3.14
Bi2 0.6687 0.8313 0.5000  6 Au 2.96-3.14
Bi3 0.8313 0.3313 0.5000  6 Au 2.96-3.14
Bi4 0.3313 0.1687 0.5000  6 Au 2.96-3.14
Ag1 0.0000 0.0000 0.0000  4 Au 2.90
Ag2 0.5000 0.5000 0.0000  4 Au 2.90

x:
Compound: AgBi2Au2
Source: Alexandria via LeMat-Bulk
Functional: PBE
Structure: optimized geometry

Properties
Magnetization in μB per cell: 0.00
Crystal system: tetragonal

Unit cell a=7.9949 b=7.9949 c=3.9286 alpha=90.00 beta=90.00 gamma=90.00
With the nearest neighbours (Å) after each atom.
Positions (direct):
Au1 0.1267 0.6267 0.5000  1 Au 2.86, 6 Bi 2.95-3.16
Au2 0.6267 0.8733 0.5000  1 Au 2.86, 6 Bi 2.95-3.16
Au3 0.8733 0.3733 0.5000  1 Au 2.86, 6 Bi 2.95-3.16
Au4 0.3733 0.1267 0.5000  1 Au 2.86, 6 Bi 2.95-3.16
Bi1 0.3215 0.8215 0.0000  2 Ag 2.94, 6 Au 2.95-3.16
Bi2 0.8215 0.6785 0.0000  2 Ag 2.94, 6 Au 2.95-3.16
Bi3 0.6785 0.1785 0.0000  2 Ag 2.94, 6 Au 2.95-3.16
Bi4 0.1785 0.3215 0.0000  2 Ag 2.94, 6 Au 2.95-3.16
Ag1 0.0000 0.0000 0.0000  4 Bi 2.94
Ag2 0.5000 0.5000 0.0000  4 Bi 2.94

Which one sits at the top of the stability order? w does.

w:
Compound: Ag3BiAu
Source: Alexandria via LeMat-Bulk
Functional: PBE
Structure: optimized geometry

Properties
Magnetization in μB per cell: 0.00
Crystal system: cubic

Unit cell a=5.1267 b=5.1267 c=5.1267 alpha=90.00 beta=90.00 gamma=90.00
With the nearest neighbours (Å) after each atom.
Positions (direct):
Au1 0.0000 0.0000 0.0000  6 Ag 2.56
Bi1 0.5000 0.5000 0.5000  12 Ag 3.63
Ag1 0.0000 0.5000 0.0000  2 Au 2.56
Ag2 0.0000 0.0000 0.5000  2 Au 2.56
Ag3 0.5000 0.0000 0.0000  2 Au 2.56

x:
Compound: Ag3BiAu
Source: Alexandria via LeMat-Bulk
Functional: PBE
Structure: optimized geometry

Properties
Magnetization in μB per cell: 0.00
Crystal system: hexagonal

Unit cell a=5.4428 b=6.9331 c=6.9328 alpha=120.01 beta=90.00 gamma=90.00
With the nearest neighbours (Å) after each atom.
Positions (direct):
Ag1 0.7500 0.6012 0.8007  2 Au 2.75, 2 Ag 2.79
Ag2 0.2500 0.8007 0.6012  2 Au 2.75, 2 Ag 2.79
Ag3 0.2500 0.3988 0.1993  2 Au 2.75, 2 Ag 2.79
Ag4 0.7500 0.1993 0.3988  2 Au 2.75, 2 Ag 2.79
Ag5 0.2500 0.8006 0.1993  2 Au 2.75, 2 Ag 2.79
Ag6 0.7500 0.1994 0.8007  2 Au 2.75, 2 Ag 2.79
Bi1 0.7499 0.6667 0.3334  12 Ag 3.16-3.49
Bi2 0.2501 0.3333 0.6667  12 Ag 3.16-3.49
Au1 0.0000 0.0000 0.0000  2 Au 2.72, 6 Ag 2.75
Au2 0.5000 0.0000 0.0000  2 Au 2.72, 6 Ag 2.75

Which one sits at the top of the stability order? x does.

w:
Compound: LiAgBiAu
Source: Alexandria via LeMat-Bulk
Functional: PBE
Structure: optimized geometry

Properties
Magnetization in μB per cell: 0.00
Crystal system: cubic

Unit cell a=4.8966 b=4.8966 c=4.8966 alpha=60.00 beta=60.00 gamma=60.00
With the nearest neighbours (Å) after each atom.
Positions (direct):
Au1 0.5000 0.5000 0.5000  4 Bi 3.00, 4 Li 3.00
Bi1 0.7500 0.7500 0.7500  4 Au 3.00, 4 Ag 3.00
Ag1 0.0000 0.0000 0.0000  4 Bi 3.00, 4 Li 3.00
Li1 0.2500 0.2500 0.2500  4 Au 3.00, 4 Ag 3.00

x:
Compound: LiAgBiAu
Source: Alexandria via LeMat-Bulk
Functional: PBE
Structure: optimized geometry

Properties
Magnetization in μB per cell: 0.00
Crystal system: tetragonal

Unit cell a=4.4413 b=4.4414 c=5.1673 alpha=115.44 beta=115.45 gamma=90.00
With the nearest neighbours (Å) after each atom.
Positions (direct):
Li1 0.0000 0.0006 0.0000  4 Ag 3.02-3.03, 4 Bi 3.02-3.03, 4 Au 3.14
Ag1 0.7500 0.2499 0.5000  4 Li 3.02-3.03, 4 Au 3.02-3.03, 4 Bi 3.14
Bi1 0.2500 0.7500 0.5000  4 Li 3.02-3.03, 4 Au 3.02, 4 Ag 3.14
Au1 0.5000 0.4996 0.0000  4 Ag 3.02-3.03, 4 Bi 3.02, 4 Li 3.14

Which one sits at the top of the stability order? x does.

w:
Compound: AgAuBr2
Source: Alexandria via LeMat-Bulk
Functional: PBE
Structure: optimized geometry

Properties
Magnetization in μB per cell: 0.00
Crystal system: monoclinic

Unit cell a=4.0155 b=6.8565 c=4.3565 alpha=92.68 beta=90.00 gamma=90.00
With the nearest neighbours (Å) after each atom.
Positions (direct):
Au1 0.5000 0.6689 0.7742  3 Br 2.53-2.72
Br1 0.0000 0.9107 0.9722  1 Ag 2.67, 2 Au 2.72
Br2 0.5000 0.3408 0.4813  1 Au 2.53, 2 Ag 2.77
Ag1 0.0000 0.5797 0.2723  3 Br 2.67-2.77

x:
Compound: AgAuBr2
Source: Alexandria via LeMat-Bulk
Functional: PBE
Structure: optimized geometry

Properties
Magnetization in μB per cell: 0.00
Crystal system: monoclinic

Unit cell a=5.3735 b=5.3735 c=6.3531 alpha=87.93 beta=87.93 gamma=43.59
With the nearest neighbours (Å) after each atom.
Positions (direct):
Au1 0.1819 0.1819 0.4123  3 Br 2.52-2.73
Br1 0.0449 0.0449 0.0874  1 Au 2.52, 2 Ag 2.79
Br2 0.8037 0.8037 0.6258  2 Au 2.73, 2 Ag 3.01
Ag1 0.4695 0.4695 0.3745  4 Br 2.79-3.01, 3 Au 2.87-2.93

y:
Compound: AgAuBr2
Source: Alexandria via LeMat-Bulk
Functional: PBE
Structure: optimized geometry

Properties
Magnetization in μB per cell: 0.00
Crystal system: orthorhombic

Unit cell a=4.1371 b=4.1371 c=7.6792 alpha=90.00 beta=90.00 gamma=122.36
With the nearest neighbours (Å) after each atom.
Positions (direct):
Au1 0.5000 0.5000 0.7500  4 Br 2.75
Br1 0.0000 0.0000 0.9963  2 Au 2.75, 2 Ag 2.79
Br2 0.0000 0.0000 0.5037  2 Au 2.75, 2 Ag 2.79
Ag1 0.5000 0.5000 0.2500  4 Br 2.79

z:
Compound: AgAuBr2
Source: Alexandria via LeMat-Bulk
Functional: PBE
Structure: optimized geometry

Properties
Magnetization in μB per cell: 0.00
Crystal system: trigonal

Unit cell a=7.0600 b=7.0600 c=7.0600 alpha=34.12 beta=34.12 gamma=34.12
With the nearest neighbours (Å) after each atom.
Positions (direct):
Au1 0.7500 0.7500 0.7500  6 Br 2.90
Br1 0.0007 0.0007 0.0007  3 Au 2.90, 3 Ag 2.92
Br2 0.4993 0.4993 0.4993  3 Au 2.90, 3 Ag 2.92
Ag1 0.2500 0.2500 0.2500  6 Br 2.92

Which one sits at the top of the stability order? w does.